(1)
Below is KSr2Br after structural relaxation, with properties calculated at the PBEsol level.

```
KSr2Br
1.0
3.9689 0.0000 0.0000
0.0000 3.9689 0.0000
0.0000 0.0000 10.9588
K Sr Br
1 2 1
Direct
0.0000 0.0000 0.0000
0.0000 0.0000 0.6134
0.5000 0.5000 0.3264
0.5000 0.5000 0.7984
```

Summary:
E_form (uncorrected) in eV per atom: -0.693
Size of the total moment in μB/cell: 0.00
Calculated density in Mg/m³: 2.8
N(E_F) in states/eV per atom: 0.71
V in Å³/atom: 43.2

---

(2)
Below is ScCuPt after structural relaxation, with properties calculated at the PBEsol level.

```
ScCuPt
1.0
-1.6774 1.6774 4.1497
1.6774 -1.6774 4.1497
1.6774 1.6774 -4.1497
Sc Cu Pt
1 1 1
Direct
0.0000 0.0000 0.0000
0.3268 0.3268 0.0000
0.6628 0.6628 0.0000
```

Summary:
ΔH_f (0 K) in eV/f.u.: -2.15
Size of the total moment in μB/cell: 0.00
Calculated density in Mg/m³: 10.8
N(E_F) in states/eV per atom: 0.55
V in Å³/atom: 15.6